Density functional theory data (PBE+U) for an optimized crystal structure of FeTcO3.

## Properties
D(E_F)   3.834 states/eV per cell
Total energy   -7.3392 eV per atom
Crystal system   monoclinic
Calculated volume   11.6 A^3/atom

POSCAR file:
```
FeTcO3
1.0
-1.8451 0.1401 -2.0955
3.5873 -4.8441 -1.6177
-4.9325 -2.8370 4.1534
O Fe Tc
6 2 2
Cartesian
-1.1311 -0.9329 0.9336 O
-2.7839 -5.6851 2.0712 O
-1.8798 -3.2806 1.4359 O
-2.0591 -6.6081 -0.4934 O
-0.4064 -1.8559 -1.6310 O
-1.3105 -4.2604 -0.9957 O
0.2692 -3.7201 -2.3505 Fe
-3.4595 -3.8209 2.7907 Fe
-1.3258 -5.2901 0.8138 Tc
-1.8644 -2.2509 -0.3736 Tc
```